1.
Material: HoScSe3
Method: DFT, PBE-GGA
State: relaxed

POSCAR file:
```
HoScSe3
1.0
-0.060 -3.495 -1.938
6.624 -0.741 1.130
-3.853 -4.540 8.306
Se Sc Ho
6 2 2
Direct
0.750 0.752 0.507
0.750 0.947 0.146
0.250 0.472 0.157
0.750 0.528 0.843
0.250 0.053 0.854
0.250 0.248 0.493
0.750 0.268 0.018
0.250 0.732 0.982
0.750 0.143 0.649
0.250 0.857 0.351
```

Values from the calculation:
* ΔE_f (raw): -8.74 eV/f.u.
* electronic total energy: -6.021 eV/atom
* energy relative to the lowest polymorph listed for this composition: 0.0040 eV/atom

=====

2.
Material: Ho5Tc2Te2
Method: DFT, PBE-GGA
State: relaxed

POSCAR file:
```
Ho5Tc2Te2
1.0
0.668 5.722 5.053
-0.095 -5.037 5.716
8.356 2.268 2.137
Ho Tc Te
10 4 4
Direct
0.000 0.000 0.000
0.551 0.827 0.246
0.797 0.827 0.754
0.703 0.327 0.246
0.297 0.673 0.754
0.051 0.673 0.246
0.500 0.500 0.000
0.203 0.173 0.246
0.449 0.173 0.754
0.949 0.327 0.754
0.885 0.611 0.000
0.615 0.111 0.000
0.385 0.889 0.000
0.115 0.389 0.000
0.787 0.000 0.425
0.287 0.500 0.425
0.713 0.500 0.575
0.213 0.000 0.575
```

Values from the calculation:
* ΔE_f (raw): -5.70 eV/f.u.
* electronic total energy: -6.178 eV/atom

=====

3.
Material: Mg2CdW
Method: DFT, PBE-GGA
State: relaxed

POSCAR file:
```
Mg2CdW
1.0
-5.007 2.053 1.919
-4.846 -2.020 -2.325
4.808 -0.898 3.008
W Cd Mg
1 1 2
Direct
0.250 0.750 0.500
0.750 0.250 0.500
0.001 0.001 0.000
0.499 0.499 0.000
```

Values from the calculation:
* electronic total energy: -3.810 eV/atom
* ΔE_f: 1.819 eV per formula unit

=====

4.
Material: V3CrH6
Method: DFT, PBE-GGA
State: relaxed

POSCAR file:
```
V3CrH6
1.0
2.786 0.000 0.000
0.000 5.032 0.000
0.000 0.000 9.294
H V Cr
12 6 2
Direct
0.000 0.033 0.311
0.500 0.203 0.598
0.500 0.116 0.887
0.500 0.884 0.113
0.000 0.703 0.902
0.500 0.797 0.402
0.000 0.297 0.098
0.000 0.967 0.689
0.000 0.616 0.613
0.500 0.533 0.189
0.500 0.467 0.811
0.000 0.384 0.387
0.500 0.806 0.763
0.000 0.000 0.500
0.500 0.500 0.000
0.500 0.194 0.237
0.000 0.306 0.737
0.000 0.694 0.263
0.000 0.000 0.000
0.500 0.500 0.500
```

Values from the calculation:
* electronic total energy: -5.815 eV/atom

=====

5.
Material: MnH2RhI
Method: DFT, PBE-GGA
State: relaxed

POSCAR file:
```
MnH2RhI
1.0
3.790 0.000 0.000
0.000 5.460 0.000
0.000 0.000 3.790
I H Rh Mn
1 2 1 1
Direct
0.000 0.000 0.000
0.500 0.000 0.000
0.000 0.000 0.500
0.000 0.500 0.000
0.500 0.500 0.500
```

Values from the calculation:
* electronic total energy: -4.110 eV/atom

=====

6.
Material: CrTe2Ru
Method: DFT, PBE-GGA
State: relaxed

POSCAR file:
```
CrTe2Ru
1.0
8.063 -0.013 -0.008
7.392 3.221 -0.008
7.392 1.534 2.832
Ru Te Cr
1 2 1
Direct
0.750 0.750 0.750
0.502 0.502 0.502
0.998 0.998 0.998
0.250 0.250 0.250
```

Values from the calculation:
* ΔE_f (raw): 1.64 eV/f.u.
* electronic total energy: -5.886 eV/atom
* energy relative to the lowest polymorph listed for this composition: 0.4622 eV/atom

=====

7.
Material: BNF3
Method: DFT, PBE-GGA
State: relaxed

POSCAR file:
```
BNF3
1.0
3.432 0.000 0.000
0.000 3.432 0.000
0.000 0.000 3.432
F B N
3 1 1
Direct
0.000 0.000 0.500
0.500 0.000 0.000
0.000 0.500 0.000
0.000 0.000 0.000
0.500 0.500 0.500
```

Values from the calculation:
* ΔE_f (raw): -0.13 eV/f.u.
* electronic total energy: -4.149 eV/atom
* energy relative to the lowest polymorph listed for this composition: 2.2018 eV/atom

=====

8.
Material: Li4ZnP
Method: DFT, PBE-GGA
State: relaxed

POSCAR file:
```
Li4ZnP
1.0
0.000 3.585 3.585
3.585 0.000 3.585
3.585 3.585 0.000
Li P Zn
4 1 1
Direct
0.873 0.376 0.376
0.376 0.873 0.376
0.376 0.376 0.873
0.376 0.376 0.376
0.750 0.750 0.750
0.000 0.000 0.000
```

Values from the calculation:
* electronic total energy: -2.365 eV/atom
* ΔE_f: 0.149 eV per formula unit

=====

What size of the total moment values result from the calculations? In sequence: 0.000 0.000 0.000 0.035 0.952 0.285 0.599 0.128 μB/atom.